Record 1
This record from Alexandria via LeMat-Bulk describes an optimized crystal structure of La3TiNi. The functional is PBE-GGA.

Cell: 5.392 5.392 5.392 Å, 90.00 90.00 90.00°
Fractional coordinates of all 5 atoms:
La1 0.000 0.000 0.500
La2 0.000 0.500 0.000
La3 0.500 0.000 0.000
Ti1 0.500 0.500 0.500
Ni1 0.000 0.000 0.000

E_form: 0.33 eV per atom
E above lowest polymorph: 0.000 eV/atom

Record 2
This record from Alexandria via LeMat-Bulk describes an optimized crystal structure of La2Ti2Ni. The functional is PBE-GGA.

Cell: 6.635 6.635 5.174 Å, 90.00 90.00 90.00°
Fractional coordinates of all 10 atoms:
La1 0.171 0.329 0.000
La2 0.329 0.829 0.000
La3 0.671 0.171 0.000
La4 0.829 0.671 0.000
Ti1 0.153 0.653 0.500
Ti2 0.347 0.153 0.500
Ti3 0.653 0.847 0.500
Ti4 0.847 0.347 0.500
Ni1 0.000 0.000 0.500
Ni2 0.500 0.500 0.500

E_form: 0.15 eV per atom

Record 3
This record from Alexandria via LeMat-Bulk describes an optimized crystal structure of La2TiNi2. The functional is PBE-GGA.

Cell: 6.977 6.977 4.384 Å, 90.00 90.00 90.00°
Fractional coordinates of all 10 atoms:
La1 0.175 0.325 0.000
La2 0.325 0.825 0.000
La3 0.675 0.175 0.000
La4 0.825 0.675 0.000
Ti1 0.000 0.000 0.500
Ti2 0.500 0.500 0.500
Ni1 0.135 0.635 0.500
Ni2 0.365 0.135 0.500
Ni3 0.635 0.865 0.500
Ni4 0.865 0.365 0.500

E_form: -0.11 eV per atom

Record 4
This record from Alexandria via LeMat-Bulk describes an optimized crystal structure of LaTi3Ni. The functional is PBE-GGA.

Cell: 4.709 4.709 4.709 Å, 90.00 90.00 90.00°
Fractional coordinates of all 5 atoms:
La1 0.000 0.000 0.000
Ti1 0.000 0.500 0.500
Ti2 0.500 0.000 0.500
Ti3 0.500 0.500 0.000
Ni1 0.500 0.500 0.500

E_form: 0.20 eV per atom
E above lowest polymorph: 0.000 eV/atom

Record 5
This record from Alexandria via LeMat-Bulk describes an optimized crystal structure of LaTiNi2. The functional is PBE-GGA.

Cell: 8.457 8.457 8.457 Å, 147.33 147.33 46.88°
Fractional coordinates of all 8 atoms:
La1 0.375 0.625 0.750
La2 0.625 0.375 0.250
Ti1 0.125 0.875 0.250
Ti2 0.875 0.125 0.750
Ni1 0.000 0.000 0.000
Ni2 0.000 0.000 0.500
Ni3 0.000 0.500 0.000
Ni4 0.500 0.000 0.500

E_form: 0.10 eV per atom
E above lowest polymorph: 0.374 eV/atom

Record 6
This record from Alexandria via LeMat-Bulk describes an optimized crystal structure of LaTiNi2. The functional is PBE-GGA.

Cell: 4.669 4.669 4.669 Å, 60.00 60.00 60.00°
Fractional coordinates of all 4 atoms:
La1 0.000 0.000 0.000
Ti1 0.500 0.500 0.500
Ni1 0.250 0.250 0.250
Ni2 0.750 0.750 0.750

E_form: -0.01 eV per atom
E above lowest polymorph: 0.258 eV/atom

Record 7
This record from Alexandria via LeMat-Bulk describes an optimized crystal structure of LaTiNi2. The functional is PBE-GGA.

Cell: 3.127 3.127 7.092 Å, 90.00 90.00 90.00°
Fractional coordinates of all 4 atoms:
La1 0.000 0.000 0.000
Ti1 0.000 0.000 0.500
Ni1 0.500 0.500 0.317
Ni2 0.500 0.500 0.683

E_form: -0.27 eV per atom
E above lowest polymorph: 0.000 eV/atom

Record 8
This record from Alexandria via LeMat-Bulk describes an optimized crystal structure of LaTiNi3. The functional is PBE-GGA.

Cell: 4.701 4.701 4.701 Å, 90.00 90.00 90.00°
Fractional coordinates of all 5 atoms:
La1 0.000 0.000 0.000
Ti1 0.500 0.500 0.500
Ni1 0.000 0.000 0.500
Ni2 0.000 0.500 0.000
Ni3 0.500 0.000 0.000

E_form: 1.18 eV per atom
E above lowest polymorph: 1.069 eV/atom

Record 9
This record from Alexandria via LeMat-Bulk describes an optimized crystal structure of La2TiNi. The functional is PBE-GGA.

Cell: 6.529 6.529 6.529 Å, 102.96 102.96 123.47°
Fractional coordinates of all 8 atoms:
La1 0.073 0.625 0.948
La2 0.375 0.323 0.448
La3 0.677 0.125 0.052
La4 0.875 0.927 0.552
Ti1 0.250 0.750 0.500
Ti2 0.500 0.500 0.000
Ni1 0.000 0.000 0.000
Ni2 0.750 0.250 0.500

E_form: 0.29 eV per atom
E above lowest polymorph: 0.018 eV/atom

Record 10
This record from Alexandria via LeMat-Bulk describes an optimized crystal structure of LaTi2TlNi. The functional is PBE-GGA.

Cell: 5.135 5.135 6.006 Å, 90.00 90.00 90.00°
Fractional coordinates of all 5 atoms:
La1 0.000 0.000 0.000
Ti1 0.000 0.500 0.500
Ti2 0.500 0.000 0.500
Tl1 0.000 0.000 0.500
Ni1 0.500 0.500 0.000

E_form: 1.30 eV per atom

Record 11
This record from Alexandria via LeMat-Bulk describes an optimized crystal structure of La2TiZn3Ni12. The functional is PBE-GGA.

Cell: 6.395 6.395 6.395 Å, 83.53 83.53 83.53°
Fractional coordinates of all 18 atoms:
La1 0.162 0.162 0.162
La2 0.838 0.838 0.838
Ti1 0.500 0.500 0.500
Zn1 0.000 0.500 0.500
Zn2 0.500 0.000 0.500
Zn3 0.500 0.500 0.000
Ni1 0.102 0.102 0.613
Ni2 0.102 0.613 0.102
Ni3 0.224 0.693 0.693
Ni4 0.307 0.307 0.776
Ni5 0.307 0.776 0.307
Ni6 0.387 0.898 0.898
Ni7 0.613 0.102 0.102
Ni8 0.693 0.224 0.693
Ni9 0.693 0.693 0.224
Ni10 0.776 0.307 0.307
Ni11 0.898 0.387 0.898
Ni12 0.898 0.898 0.387

E_form: -0.08 eV per atom

Record 12
This record from Alexandria via LeMat-Bulk describes an optimized crystal structure of LaTlNi2. The functional is PBE-GGA.

Cell: 9.436 9.436 9.436 Å, 151.27 151.27 41.07°
Fractional coordinates of all 8 atoms:
La1 0.000 0.000 0.000
La2 0.750 0.250 0.500
Tl1 0.250 0.750 0.500
Tl2 0.500 0.500 0.000
Ni1 0.322 0.625 0.197
Ni2 0.375 0.572 0.697
Ni3 0.428 0.125 0.803
Ni4 0.875 0.678 0.303

E_form: 0.14 eV per atom

Record 13
This record from Alexandria via LeMat-Bulk describes an optimized crystal structure of LaTl3Ni. The functional is PBE-GGA.

Cell: 5.104 5.104 5.104 Å, 90.00 90.00 90.00°
Fractional coordinates of all 5 atoms:
La1 0.000 0.000 0.000
Tl1 0.000 0.500 0.500
Tl2 0.500 0.000 0.500
Tl3 0.500 0.500 0.000
Ni1 0.500 0.500 0.500

E_form: -0.06 eV per atom
E above lowest polymorph: 0.000 eV/atom

Record 14
This record from Alexandria via LeMat-Bulk describes an optimized crystal structure of La3TlNi. The functional is PBE-GGA.

Cell: 6.680 6.680 10.308 Å, 114.63 114.63 46.94°
Fractional coordinates of all 10 atoms:
La1 0.124 0.124 0.441
La2 0.359 0.359 0.830
La3 0.372 0.372 0.228
La4 0.628 0.628 0.772
La5 0.641 0.641 0.170
La6 0.876 0.876 0.559
Tl1 0.083 0.083 0.924
Tl2 0.917 0.917 0.076
Ni1 0.396 0.396 0.522
Ni2 0.604 0.604 0.478

E_form: -0.29 eV per atom
E above lowest polymorph: 0.000 eV/atom

Record 15
This record from Alexandria via LeMat-Bulk describes an optimized crystal structure of La4Tl3Ni. The functional is PBE-GGA.

Cell: 3.695 3.695 17.051 Å, 90.00 90.00 90.00°
Fractional coordinates of all 8 atoms:
La1 0.000 0.000 0.097
La2 0.000 0.000 0.366
La3 0.000 0.000 0.634
La4 0.000 0.000 0.903
Tl1 0.500 0.500 0.234
Tl2 0.500 0.500 0.500
Tl3 0.500 0.500 0.766
Ni1 0.500 0.500 0.000

E_form: -0.37 eV per atom

Record 16
This record from Alexandria via LeMat-Bulk describes an optimized crystal structure of La2TlNi. The functional is PBE-GGA.

Cell: 3.533 3.533 8.750 Å, 90.00 90.00 90.00°
Fractional coordinates of all 4 atoms:
La1 0.000 0.000 0.000
La2 0.500 0.500 0.366
Tl1 0.500 0.500 0.734
Ni1 0.000 0.000 0.557

E_form: -0.06 eV per atom

Record 17
This record from Alexandria via LeMat-Bulk describes an optimized crystal structure of La2Tl2Ni. The functional is PBE-GGA.

Cell: 7.358 7.358 5.072 Å, 90.00 90.00 90.00°
Fractional coordinates of all 10 atoms:
La1 0.153 0.347 0.000
La2 0.347 0.847 0.000
La3 0.653 0.153 0.000
La4 0.847 0.653 0.000
Tl1 0.155 0.655 0.500
Tl2 0.345 0.155 0.500
Tl3 0.655 0.845 0.500
Tl4 0.845 0.345 0.500
Ni1 0.000 0.000 0.500
Ni2 0.500 0.500 0.500

E_form: -0.15 eV per atom

Record 18
This record from Alexandria via LeMat-Bulk describes an optimized crystal structure of LaTl4Ni. The functional is PBE-GGA.

Cell: 6.228 6.228 6.228 Å, 60.00 60.00 60.00°
Fractional coordinates of all 6 atoms:
La1 0.000 0.000 0.000
Tl1 0.375 0.375 0.375
Tl2 0.375 0.375 0.874
Tl3 0.375 0.874 0.375
Tl4 0.874 0.375 0.375
Ni1 0.750 0.750 0.750

E_form: 0.33 eV per atom

Record 19
This record from Alexandria via LeMat-Bulk describes an optimized crystal structure of La2TlNi. The functional is PBE-GGA.

Cell: 5.173 5.173 5.173 Å, 60.00 60.00 60.00°
Fractional coordinates of all 4 atoms:
La1 0.000 0.000 0.000
La2 0.250 0.250 0.250
Tl1 0.750 0.750 0.750
Ni1 0.500 0.500 0.500

E_form: -0.01 eV per atom

Record 20
This record from Alexandria via LeMat-Bulk describes an optimized crystal structure of La3TlNi. The functional is PBE-GGA.

Cell: 5.438 5.438 5.438 Å, 90.00 90.00 90.00°
Fractional coordinates of all 5 atoms:
La1 0.000 0.000 0.500
La2 0.000 0.500 0.000
La3 0.500 0.000 0.000
Tl1 0.500 0.500 0.500
Ni1 0.000 0.000 0.000

E_form: -0.22 eV per atom
E above lowest polymorph: 0.073 eV/atom

Record 21
This record from Alexandria via LeMat-Bulk describes an optimized crystal structure of La2TlNi. The functional is PBE-GGA.

Cell: 4.025 4.025 8.867 Å, 103.09 103.09 59.91°
Fractional coordinates of all 4 atoms:
La1 0.233 0.233 0.196
La2 0.767 0.767 0.804
Tl1 0.000 0.000 0.500
Ni1 0.500 0.500 0.000

E_form: -0.27 eV per atom

Record 22
This record from Alexandria via LeMat-Bulk describes an optimized crystal structure of LaTlNi2. The functional is PBE-GGA.

Cell: 4.743 4.743 3.537 Å, 94.61 94.61 89.95°
Fractional coordinates of all 4 atoms:
La1 0.000 0.000 0.000
Tl1 0.500 0.500 0.000
Ni1 0.000 0.500 0.500
Ni2 0.500 0.000 0.500

E_form: -0.01 eV per atom

Record 23
This record from Alexandria via LeMat-Bulk describes an optimized crystal structure of LaTl2Ni2. The functional is PBE-GGA.

Cell: 7.167 7.167 4.209 Å, 90.00 90.00 90.00°
Fractional coordinates of all 10 atoms:
La1 0.000 0.000 0.000
La2 0.500 0.500 0.000
Tl1 0.163 0.337 0.500
Tl2 0.337 0.837 0.500
Tl3 0.663 0.163 0.500
Tl4 0.837 0.663 0.500
Ni1 0.119 0.619 0.000
Ni2 0.381 0.119 0.000
Ni3 0.619 0.881 0.000
Ni4 0.881 0.381 0.000

E_form: 0.01 eV per atom
E above lowest polymorph: 0.113 eV/atom

Record 24
This record from Alexandria via LeMat-Bulk describes an optimized crystal structure of La2TlNi. The functional is PBE-GGA.

Cell: 6.559 6.559 5.004 Å, 112.42 112.42 32.43°
Fractional coordinates of all 4 atoms:
La1 0.000 0.000 0.000
La2 0.194 0.194 0.694
Tl1 0.393 0.393 0.393
Ni1 0.709 0.709 0.207

E_form: -0.25 eV per atom

Record 25
This record from Alexandria via LeMat-Bulk describes an optimized crystal structure of LaTlNi2. The functional is PBE-GGA.

Cell: 3.381 3.381 6.991 Å, 90.00 90.00 90.00°
Fractional coordinates of all 4 atoms:
La1 0.000 0.000 0.000
Tl1 0.500 0.500 0.620
Ni1 0.000 0.000 0.386
Ni2 0.500 0.500 0.241

E_form: -0.03 eV per atom

Record 26
This record from Alexandria via LeMat-Bulk describes an optimized crystal structure of LaTl3Ni. The functional is PBE-GGA.

Cell: 6.145 6.145 6.145 Å, 90.00 90.00 90.00°
Fractional coordinates of all 5 atoms:
La1 0.000 0.000 0.000
Tl1 0.000 0.000 0.500
Tl2 0.000 0.500 0.000
Tl3 0.500 0.000 0.000
Ni1 0.500 0.500 0.500

E_form: 1.22 eV per atom
E above lowest polymorph: 1.285 eV/atom